## one
Tl2Pd3 after structural relaxation, computed with PBE.

a b c (Å): 7.6287 7.6287 12.2440
angles (deg): 90.00 90.00 120.00
Space group R-3c (No. 167, hexagonal axes)
Asymmetric unit:
1 Tl 0.0000 0.0000 0.1226
2 Pd 0.0000 0.3042 0.2500

## Properties
density of states at the Fermi level	0.4	states/eV/f.u.

## two
Tl2Pd3 after structural relaxation, computed with PBE.

a b c (Å): 6.643 11.185 5.411
angles (deg): 90.00 90.00 90.00
Space group Ibam (No. 72)
Asymmetric unit:
1 Tl 0.246 0.169 0.000
2 Pd 0.000 0.500 0.250
3 Pd 0.153 0.086 0.500

## Properties
density of states at the Fermi level	2.2	states/eV/f.u.

Of them, one has the lowest stability.

## one
Tl4Pd after structural relaxation, computed with PBE.

a b c (Å): 6.699 6.699 6.058
angles (deg): 90.00 90.00 90.00
Space group P4/nbm (No. 125, origin choice 2)
Asymmetric unit:
1 Tl 0.077 0.577 0.244
2 Pd 0.250 0.250 0.500

## Properties
density of states at the Fermi level	2.1	states/eV/f.u.

## two
Tl4Pd after structural relaxation, computed with PBE.

a b c (Å): 5.372 5.372 5.372
angles (deg): 90.00 90.00 90.00
Space group Pm-3m (No. 221)
Asymmetric unit:
1 Tl 0.000 0.000 0.000
2 Tl 0.000 0.500 0.500
3 Pd 0.500 0.500 0.500

## Properties
density of states at the Fermi level	4.2	states/eV/f.u.

Of them, two has the lowest stability.